1.
Crystalline Cu2NiAu at its relaxed geometry. Source: Alexandria, functional PBE.

Results
ΔH_f (0 K) = 0.05 eV per atom
Calculated density = 11.940 g/cm3
Space group = No. 8

Cell lengths 4.547, 4.547, 4.595 Å; angles 100.24, 100.24, 34.77 degrees
Atoms (fractional coordinates):
Cu  0.000  0.000  0.000
Cu  0.749  0.749  0.235
Ni  0.493  0.493  0.468
Au  0.244  0.244  0.731

---

2.
Crystalline CuNiAu2 at its relaxed geometry. Source: Alexandria, functional PBE.

Results
ΔH_f (0 K) = 0.03 eV per atom
Calculated density = 14.522 g/cm3
Space group = No. 123

Cell lengths 2.922, 2.922, 6.914 Å; angles 90.00, 90.00, 90.00 degrees
Atoms (fractional coordinates):
Cu  0.000  0.000  0.000
Ni  0.000  0.000  0.500
Au  0.500  0.500  0.254
Au  0.500  0.500  0.746